1.
KMoRu2 | GGA-PBE | relaxed

Summary:
**Total energy**: -24.48 eV/f.u.
**Excess energy over the best structure of this formula in the dataset**: 885.9 meV per atom

Cell lengths 2.8249, 4.7928, 4.9817 Å; angles 90.00, 90.00, 90.00 degrees
Closest atoms and distances in Å follow each position.
Fractional positions:
K (0.0000, 0.0000, 0.0000)  4 Ru 2.78, 2 K 2.82, 4 Mo 2.86
Mo (0.5000, 0.0000, 0.5000)  4 Ru 2.78, 2 Mo 2.82, 4 K 2.86
Ru (0.0000, 0.5000, 0.5000)  4 Mo 2.78, 6 Ru 2.82-2.86
Ru (0.5000, 0.5000, 0.0000)  4 K 2.78, 6 Ru 2.82-2.86

2.
KMoRu2 | GGA-PBE | relaxed

Summary:
**Total energy**: -25.34 eV/f.u.
**Excess energy over the best structure of this formula in the dataset**: 671.4 meV per atom

Cell lengths 5.4142, 5.4142, 2.5652 Å; angles 96.21, 96.21, 109.40 degrees
Closest atoms and distances in Å follow each position.
Fractional positions:
K (0.0000, 0.0000, 0.0000)  2 K 2.57, 4 Ru 2.87
Mo (0.5000, 0.5000, 0.0000)  2 Mo 2.57, 4 Ru 2.87
Ru (0.0000, 0.5000, 0.5000)  2 Ru 2.57, 2 Mo 2.87, 2 K 2.87
Ru (0.5000, 0.0000, 0.5000)  2 Ru 2.57, 2 Mo 2.87, 2 K 2.87

3.
KMoRu2 | GGA-PBE | relaxed

Summary:
**Total energy**: -27.34 eV/f.u.
**Excess energy over the best structure of this formula in the dataset**: 172.5 meV per atom

Cell lengths 2.7394, 2.7394, 9.8812 Å; angles 90.00, 90.00, 90.00 degrees
Closest atoms and distances in Å follow each position.
Fractional positions:
K (0.0000, 0.0000, 0.0000)  4 K 2.74
Mo (0.5000, 0.5000, 0.3288)  4 Mo 2.74, 4 Ru 2.84
Ru (0.0000, 0.0000, 0.5389)  8 Ru 2.59-2.74, 4 Mo 2.84
Ru (0.5000, 0.5000, 0.7136)  8 Ru 2.59-2.74

4.
KMoRu2 | GGA-PBE | relaxed

Summary:
**Total energy**: -25.58 eV/f.u.
**Excess energy over the best structure of this formula in the dataset**: 611.3 meV per atom

Cell lengths 4.5608, 4.5608, 4.5608 Å; angles 60.00, 60.00, 60.00 degrees
Closest atoms and distances in Å follow each position.
Fractional positions:
K (0.0000, 0.0000, 0.0000)  8 Ru 2.79
Mo (0.5000, 0.5000, 0.5000)  8 Ru 2.79
Ru (0.2500, 0.2500, 0.2500)  4 Mo 2.79, 4 K 2.79
Ru (0.7500, 0.7500, 0.7500)  4 Mo 2.79, 4 K 2.79